[1]
ThBeAu2 | PBE | relaxed

Unit cell a=4.2723 b=4.2723 c=5.7425 alpha=68.16 beta=68.16 gamma=60.00
Positions (direct):
1 Th 0.0000 0.0000 0.0000
2 Be 0.5000 0.5000 0.5000
3 Au 0.2159 0.2159 0.3523
4 Au 0.7841 0.7841 0.6477

## Properties
Electronic total energy, eV/atom: -4.84
ΔH_f (0 K), meV per atom: -410.1

***

[2]
Th2BeAu | PBE | relaxed

Unit cell a=3.4326 b=3.4326 c=7.9659 alpha=90.00 beta=90.00 gamma=90.00
Positions (direct):
1 Au 0.5000 0.5000 0.5000
2 Th 0.0000 0.0000 0.2305
3 Th 0.0000 0.0000 0.7695
4 Be 0.5000 0.5000 0.0000

## Properties
Electronic total energy, eV/atom: -5.62
ΔH_f (0 K), meV per atom: -164.2

***

[3]
ThBe4Au8 | PBE | relaxed

Unit cell a=5.2784 b=6.8747 c=6.8747 alpha=81.52 beta=67.42 gamma=67.42
Positions (direct):
1 Au 0.3310 0.6690 0.6690
2 Au 0.5000 0.7783 0.2217
3 Au 0.0000 0.3310 0.6690
4 Au 0.0000 0.6690 0.3310
5 Au 0.2783 0.2217 0.2217
6 Au 0.6690 0.3310 0.3310
7 Au 0.5000 0.2217 0.7783
8 Au 0.7217 0.7783 0.7783
9 Be 0.0000 0.0000 0.5000
10 Be 0.5000 0.5000 0.0000
11 Be 0.0000 0.5000 0.0000
12 Be 0.5000 0.0000 0.5000
13 Th 0.0000 0.0000 0.0000

## Properties
Electronic total energy, eV/atom: -3.98
ΔH_f (0 K), meV per atom: -241.9

***

| no. | V (A^3/atom) |
| --- | --- |
| 1 | 20.494 |
| 2 | 23.464 |
| 3 | 16.362 |